VASP calculation (GGA-PBE) on a relaxed MnTeS2 crystal.

Summary:
formation energy (no corrections): -0.33 eV per formula unit

POSCAR file:
```
MnTeS2
1.0
5.302 0.000 0.000
0.000 5.302 0.000
2.651 2.651 6.136
S Te Mn
4 2 2
Cartesian
2.651 5.302 0.537 S
5.302 5.302 3.605 S
2.651 2.651 2.531 S
2.651 5.302 5.599 S
0.000 0.000 0.000 Te
5.302 2.651 3.068 Te
2.651 5.302 3.068 Mn
2.651 2.651 0.000 Mn
```

***

VASP calculation (GGA-PBE) on a relaxed Fe2ReSeCl crystal.

Summary:
formation energy (no corrections): 7.04 eV per formula unit

POSCAR file:
```
Fe2ReSeCl
1.0
-0.451 4.471 -1.097
0.488 -1.049 -4.478
-4.370 -0.527 -0.352
Fe Se Cl Re
2 1 1 1
Cartesian
-0.225 2.235 -0.548 Fe
0.244 -0.525 -2.239 Fe
-2.166 1.447 -2.964 Se
-2.185 -0.263 -0.176 Cl
0.000 0.000 0.000 Re
```

***

VASP calculation (GGA-PBE) on a relaxed LaCoIr2 crystal.

POSCAR file:
```
LaCoIr2
1.0
-1.597 1.948 1.776
1.545 -0.991 2.476
5.064 5.152 -1.098
Ir Co La
2 1 1
Cartesian
2.819 2.867 -0.611 Ir
4.778 4.860 -1.035 Ir
3.772 4.342 1.303 Co
1.240 1.767 1.852 La
```

***

Number 1: electronic total energy -5.225 eV per atom. Number 2: electronic total energy -5.534 eV per atom. Number 3: electronic total energy -7.418 eV per atom.